1.
LiUPN after structural relaxation, computed with PBE.

Output
SG: No. 129

abc: 3.761 3.761 8.535
angles: 90.00 90.00 90.00
Site moments in Bohr magnetons follow the coordinates.
Fractional coordinates of all 8 atoms:
Li 0.000 0.000 0.500  0.00
Li 0.500 0.500 0.500  0.00
U 0.000 0.500 0.857  1.12
U 0.500 0.000 0.143  1.12
P 0.500 0.000 0.693  -0.07
P 0.000 0.500 0.307  -0.07
N 0.500 0.500 0.000  -0.08
N 0.000 0.000 0.000  -0.08



2.
Li2VPN after structural relaxation, computed with PBE.

Output
SG: No. 123

abc: 4.671 3.463 4.671
angles: 90.00 90.00 90.00
Site moments in Bohr magnetons follow the coordinates.
Fractional coordinates of all 5 atoms:
P 0.000 0.000 0.000  0.00
N 0.000 0.500 0.000  0.04
Li 0.000 0.000 0.500  0.01
Li 0.500 0.000 0.000  0.02
V 0.500 0.500 0.500  -0.12



3.
Li2PWN4 after structural relaxation, computed with PBE.

Output
SG: No. 82

abc: 4.653 4.653 5.363
angles: 115.71 115.71 90.00
Site moments in Bohr magnetons follow the coordinates.
Fractional coordinates of all 8 atoms:
Li 0.486 0.986 0.972  0.01
Li 0.236 0.236 0.472  0.00
P 0.986 0.486 0.972  0.05
W 0.736 0.736 0.472  0.46
N 0.687 0.599 0.745  0.01
N 0.873 0.414 0.199  0.01
N 0.326 0.785 0.199  0.01
N 0.058 0.145 0.745  0.01



The records above give, respectively, final energy values of -62.528 -21.605 -59.891 eV per cell.